1.
A plane-wave DFT calculation with PBE+U was carried out for crystalline Li2FeSiO4 at its relaxed geometry.

## Properties
The calculated total energy comes out at -6.61 eV/atom. The calculation puts the calculated density at 3.1 g/cm³. As for the crystal system: monoclinic. The energy relative to the lowest polymorph listed for this composition comes out at 4 meV/atom.

Cell lengths 5.0400, 5.5033, 6.2914 Å; angles 90.00, 90.46, 90.00 degrees
Site moments in Bohr magnetons follow the coordinates.
Element x y z (fractional)
1 Li 0.4972 0.3177 0.0018  0.00
2 Li 0.9972 0.6823 0.5018  0.00
3 Li 0.5005 0.8472 0.2530  0.00
4 Li 0.0005 0.1528 0.7530  0.00
5 Fe 0.0020 0.6675 0.0113  3.74
6 Fe 0.5020 0.3325 0.5113  3.74
7 Si 0.9926 0.1748 0.2540  0.01
8 Si 0.4926 0.8252 0.7540  0.01
9 O 0.0974 0.3126 0.0353  0.03
10 O 0.5974 0.6874 0.5353  0.03
11 O 0.1030 0.8919 0.2551  0.03
12 O 0.6030 0.1081 0.7551  0.03
13 O 0.6649 0.1739 0.2528  0.03
14 O 0.1649 0.8261 0.7528  0.03
15 O 0.0929 0.3232 0.4701  0.03
16 O 0.5929 0.6768 0.9701  0.03

***

2.
A plane-wave DFT calculation with PBE+U was carried out for crystalline LiFeSiO4 at its relaxed geometry.

## Properties
The calculated total energy comes out at -6.84 eV/atom. The calculation puts the calculated density at 2.9 g/cm³. As for the crystal system: monoclinic. The energy relative to the lowest polymorph listed for this composition comes out at 60 meV/atom.

Cell lengths 5.6653, 5.0608, 7.8626 Å; angles 50.73, 90.00, 90.00 degrees
Site moments in Bohr magnetons follow the coordinates.
Element x y z (fractional)
1 Li 0.8351 0.2387 0.7502  0.01
2 Li 0.1649 0.2387 0.2502  0.01
3 Fe 0.3402 0.9920 0.9979  4.30
4 Fe 0.6598 0.9920 0.4979  4.30
5 Si 0.3334 0.4927 0.5013  0.02
6 Si 0.6666 0.4927 0.0013  0.02
7 O 0.5985 0.3361 0.5230  0.13
8 O 0.2089 0.6070 0.2732  0.12
9 O 0.1773 0.2057 0.7239  0.12
10 O 0.6362 0.8356 0.9811  0.14
11 O 0.4015 0.3361 0.0230  0.13
12 O 0.8227 0.2057 0.2239  0.12
13 O 0.7911 0.6070 0.7732  0.12
14 O 0.3638 0.8356 0.4811  0.14

***

3.
A plane-wave DFT calculation with PBE+U was carried out for crystalline LiFeSiO4 at its relaxed geometry.

## Properties
The calculated total energy comes out at -6.86 eV/atom. The calculation puts the calculated density at 2.9 g/cm³. As for the crystal system: monoclinic. The energy relative to the lowest polymorph listed for this composition comes out at 45 meV/atom.

Cell lengths 5.4656, 5.0998, 8.1204 Å; angles 51.86, 90.00, 90.00 degrees
Site moments in Bohr magnetons follow the coordinates.
Element x y z (fractional)
1 Li 0.6533 0.7588 0.7575  0.00
2 Li 0.3467 0.7588 0.2575  0.00
3 Fe 0.8290 0.0100 0.0075  4.30
4 Fe 0.1710 0.0100 0.5075  4.30
5 Si 0.3313 0.2625 0.7596  0.02
6 Si 0.6687 0.2625 0.2596  0.02
7 O 0.1668 0.9828 0.9690  0.12
8 O 0.6127 0.1224 0.7897  0.13
9 O 0.3276 0.6123 0.7301  0.13
10 O 0.2222 0.3409 0.5434  0.13
11 O 0.8332 0.9828 0.4690  0.12
12 O 0.3873 0.1224 0.2897  0.13
13 O 0.6724 0.6123 0.2301  0.13
14 O 0.7778 0.3409 0.0434  0.13